No. 1
RhS2I: optimized geometry, PBE.

Cell lengths 4.6734, 4.6734, 4.6734 Å; angles 60.00, 60.00, 60.00 degrees
Element x y z (fractional)
Rh 0.0000 0.0000 0.0000
I 0.5000 0.5000 0.5000
S 0.2500 0.2500 0.2500
S 0.7500 0.7500 0.7500

Calculated values
The energy above the most stable polymorph in this dataset comes out at 1.1342 eV/atom. The crystal system is cubic.



No. 2
SrTaBr2: optimized geometry, PBE.

Cell lengths 9.9940, 9.9940, 9.9940 Å; angles 20.22, 20.22, 20.22 degrees
Element x y z (fractional)
Br 0.0879 0.0879 0.0879
Br 0.9121 0.9121 0.9121
Sr 0.5000 0.5000 0.5000
Ta 0.0000 0.0000 0.0000

Calculated values
The energy above the most stable polymorph in this dataset comes out at 0.2168 eV/atom. The crystal system is trigonal.



No. 3
NbCrCoRe: optimized geometry, PBE.

Cell lengths 4.3237, 4.3237, 4.3237 Å; angles 60.00, 60.00, 60.00 degrees
Element x y z (fractional)
Co 0.7500 0.7500 0.7500
Re 0.2500 0.2500 0.2500
Nb 0.0000 0.0000 0.0000
Cr 0.5000 0.5000 0.5000

Calculated values
The energy relative to the elements is 48.5 meV/atom. The crystal system is cubic.



No. 4
PrAgAs2: optimized geometry, PBE.

Cell lengths 4.7160, 4.7160, 7.8599 Å; angles 72.54, 72.54, 60.00 degrees
Element x y z (fractional)
Pr 0.5000 0.5000 0.5000
As 0.1118 0.1118 0.6646
As 0.8882 0.8882 0.3354
Ag 0.0000 0.0000 0.0000

Calculated values
The energy relative to the elements is -101.7 meV/atom. The crystal system is trigonal.



No. 5
ZrMnPt: optimized geometry, PBE.

Cell lengths 4.4454, 4.4454, 4.4454 Å; angles 60.00, 60.00, 60.00 degrees
Element x y z (fractional)
Mn 0.5000 0.5000 0.5000
Zr 0.0000 0.0000 0.0000
Pt 0.7500 0.7500 0.7500

Calculated values
The energy relative to the elements is -320.1 meV/atom. The crystal system is cubic.



No. 6
Sn3Hg: optimized geometry, PBE.

Cell lengths 4.5631, 4.5631, 6.1163 Å; angles 111.90, 111.90, 90.00 degrees
Element x y z (fractional)
Sn 0.7500 0.2500 0.5000
Sn 0.2500 0.7500 0.5000
Sn 0.5000 0.5000 0.0000
Hg 0.0000 0.0000 0.0000

Calculated values
The energy relative to the elements is 63.7 meV/atom. The crystal system is tetragonal.



No. 7
KNp2AgS4: optimized geometry, PBE.

Cell lengths 4.0838, 7.0299, 14.1668 Å; angles 90.00, 90.00, 106.89 degrees
Element x y z (fractional)
Np 0.3702 0.7403 0.5624
Np 0.6298 0.2597 0.0624
Np 0.6298 0.2597 0.4376
Np 0.3702 0.7403 0.9376
K 0.1153 0.2305 0.7500
K 0.8847 0.7695 0.2500
Ag 0.8361 0.6721 0.7500
Ag 0.1639 0.3279 0.2500
S 0.2632 0.5263 0.3991
S 0.7368 0.4737 0.8991
S 0.7368 0.4737 0.6009
S 0.0000 0.0000 0.5000
S 0.4428 0.8857 0.7500
S 0.5572 0.1143 0.2500
S 0.0000 0.0000 0.0000
S 0.2632 0.5263 0.1009

Calculated values
As for the electronic total energy: -6.943 eV/atom. The crystal system is orthorhombic.



No. 8
Be2GaPd: optimized geometry, PBE.

Cell lengths 4.6553, 2.8695, 4.6586 Å; angles 107.76, 68.00, 72.28 degrees
Element x y z (fractional)
Pd 0.7702 0.1141 0.3701
Be 0.1661 0.4602 0.4610
Be 0.6772 0.4598 0.9752
Ga 0.2813 0.0999 0.8582

Calculated values
The energy relative to the elements is -160.9 meV/atom. The crystal system is monoclinic.